Version a
# PmEu2Gd

Crystalline PmEu2Gd at its relaxed geometry (PBE-GGA, Alexandria via LeMat-Bulk).

Structure (CIF):
```
data_PmEu2Gd
_chemical_formula_sum 'Pm3 Eu6 Gd3'
_cell_length_a 3.7123
_cell_length_b 3.7123
_cell_length_c 36.7368
_cell_angle_alpha 90.00
_cell_angle_beta 90.00
_cell_angle_gamma 120.00
_space_group_name_H-M_alt 'R -3 m'
_space_group_IT_number 166
_space_group_name_Hall '-R 3 2"'
loop_
_atom_site_label
_atom_site_type_symbol
_atom_site_fract_x
_atom_site_fract_y
_atom_site_fract_z
Pm1 Pm 0.0000 0.0000 0.0000
Eu1 Eu 0.0000 0.0000 0.2492
Gd1 Gd 0.0000 0.0000 0.5000
```

=====

Version b
# PmEu2Gd

Crystalline PmEu2Gd at its relaxed geometry (PBE-GGA, Alexandria via LeMat-Bulk).

Structure (CIF):
```
data_PmEu2Gd
_chemical_formula_sum 'Pm4 Eu8 Gd4'
_cell_length_a 8.3763
_cell_length_b 8.3763
_cell_length_c 8.3763
_cell_angle_alpha 90.00
_cell_angle_beta 90.00
_cell_angle_gamma 90.00
_space_group_name_H-M_alt 'F m -3 m'
_space_group_IT_number 225
_space_group_name_Hall '-F 4 2 3'
loop_
_atom_site_label
_atom_site_type_symbol
_atom_site_fract_x
_atom_site_fract_y
_atom_site_fract_z
Pm1 Pm 0.0000 0.0000 0.0000
Eu1 Eu 0.2500 0.2500 0.2500
Gd1 Gd 0.0000 0.0000 0.5000
```

=====

Which is most stable, and by how much? version a, by 0.066 eV/atom.

=====

Version a
# PmEuGd

Crystalline PmEuGd at its relaxed geometry (PBE-GGA, Alexandria via LeMat-Bulk).

Structure (CIF):
```
data_PmEuGd
_chemical_formula_sum 'Pm2 Eu2 Gd2'
_cell_length_a 3.6999
_cell_length_b 3.6999
_cell_length_c 15.6214
_cell_angle_alpha 90.00
_cell_angle_beta 90.00
_cell_angle_gamma 90.00
_space_group_name_H-M_alt 'I 4 m m'
_space_group_IT_number 107
_space_group_name_Hall 'I 4 -2'
loop_
_atom_site_label
_atom_site_type_symbol
_atom_site_fract_x
_atom_site_fract_y
_atom_site_fract_z
Pm1 Pm 0.0000 0.0000 0.0000
Eu1 Eu 0.0000 0.0000 0.6716
Gd1 Gd 0.0000 0.0000 0.3491
```

=====

Version b
# PmEuGd

Crystalline PmEuGd at its relaxed geometry (PBE-GGA, Alexandria via LeMat-Bulk).

Structure (CIF):
```
data_PmEuGd
_chemical_formula_sum 'Pm1 Eu1 Gd1'
_cell_length_a 3.6786
_cell_length_b 3.6786
_cell_length_c 9.0669
_cell_angle_alpha 90.00
_cell_angle_beta 90.00
_cell_angle_gamma 120.00
_space_group_name_H-M_alt 'P 3 m 1'
_space_group_IT_number 156
loop_
_space_group_symop_operation_xyz
'x,y,z'
'-y,x-y,z'
'-x+y,-x,z'
'-y,-x,z'
'-x+y,y,z'
'x,x-y,z'
loop_
_atom_site_label
_atom_site_type_symbol
_atom_site_fract_x
_atom_site_fract_y
_atom_site_fract_z
Pm1 Pm 0.0000 0.0000 0.0000
Eu1 Eu 0.6667 0.3333 0.3471
Gd1 Gd 0.3333 0.6667 0.6873
```

=====

Which is most stable, and by how much? version a, by 0.013 eV/atom.